First-principles (PBE-GGA) data for Tb3Pm8Dy after structural relaxation, as listed in Alexandria via LeMat-Bulk.

Summary:
The calculation puts the formation enthalpy at 0 K at 0.705 eV/atom. For the density, the calculation gives 6.306 Mg/m³. The volume comes out at 474 Å³/cell. The total DFT energy (no corrections) is -48.0 eV per cell.

Lattice parameters (Å, degrees): 10.9320 11.0439 7.8309 135.29 89.88 119.68
Positions (direct):
Tb1 0.5000 0.0000 0.0000
Tb2 0.5000 0.5000 0.0000
Tb3 0.0000 0.5000 0.0000
Pm1 0.2498 0.4997 0.7473
Pm2 0.7502 0.5003 0.2527
Pm3 0.2500 0.0004 0.7487
Pm4 0.7505 0.0005 0.7488
Pm5 0.7504 0.5006 0.7482
Pm6 0.2496 0.4994 0.2518
Pm7 0.2495 0.9995 0.2512
Pm8 0.7500 0.9996 0.2513
Dy1 0.0000 0.0000 0.0000